1.
Compound: ScZnSbTe2
Source: the Alexandria database
Functional: PBE
Structure: optimized geometry

a b c (Å): 5.5191 5.5191 5.5761
angles (deg): 90.00 90.00 90.00
Closest atoms and distances in Å follow each position.
Fractional coordinates of all 5 atoms:
Sc: 0.0000 0.0000 0.0000  4 Te 2.76, 2 Sb 2.79
Sb: 0.0000 0.0000 0.5000  2 Sc 2.79
Zn: 0.5000 0.5000 0.5000  4 Sb 3.90, 8 Te 3.92
Te: 0.0000 0.5000 0.0000  2 Sc 2.76
Te: 0.5000 0.0000 0.0000  2 Sc 2.76

Summary:
Formation energy (no corrections), eV/atom: 0.069
Symmetry: P4/mmm, No. 123
Energy relative to the lowest polymorph listed for this composition, eV/atom: 0.000



2.
Compound: Tm4SiSnC
Source: the Alexandria database
Functional: PBE
Structure: optimized geometry

a b c (Å): 6.5855 6.5884 8.3241
angles (deg): 90.00 113.30 90.00
Closest atoms and distances in Å follow each position.
Fractional coordinates of all 14 atoms:
Tm: 0.9172 0.2500 0.8345  1 C 2.52
Tm: 0.4086 0.7500 0.8171  1 C 2.46
Tm: 0.0828 0.7500 0.1655  1 C 2.52
Tm: 0.5914 0.2500 0.1829  1 C 2.46
Tm: 0.5000 0.5000 0.5000  2 C 2.33
Tm: 0.0000 0.0000 0.5000  2 C 2.33
Tm: 0.5000 0.0000 0.5000  2 C 2.33
Tm: 0.0000 0.5000 0.5000  2 C 2.33
Si: 0.1154 0.2500 0.2309  9 Tm 3.03-3.33
Si: 0.8846 0.7500 0.7691  9 Tm 3.03-3.33
Sn: 0.6077 0.7500 0.2153  9 Tm 3.04-3.31
Sn: 0.3923 0.2500 0.7847  9 Tm 3.04-3.31
C: 0.2477 0.7500 0.4954  6 Tm 2.33-2.52
C: 0.7523 0.2500 0.5046  6 Tm 2.33-2.52

Summary:
Formation energy (no corrections), eV/atom: -0.612
Symmetry: Cmcm, No. 63



3.
Compound: LiYAl2Ni
Source: the Alexandria database
Functional: PBE
Structure: optimized geometry

a b c (Å): 4.3931 4.9529 4.3931
angles (deg): 90.00 90.00 90.00
Closest atoms and distances in Å follow each position.
Fractional coordinates of all 5 atoms:
Y: 0.0000 0.5000 0.0000  2 Li 2.48
Ni: 0.5000 0.5000 0.5000  4 Y 3.11, 8 Al 3.31
Al: 0.0000 0.0000 0.5000  2 Li 2.20
Al: 0.5000 0.0000 0.0000  2 Li 2.20
Li: 0.0000 0.0000 0.0000  4 Al 2.20

Summary:
Symmetry: P4/mmm, No. 123



4.
Compound: Mo2RuBr
Source: the Alexandria database
Functional: PBE
Structure: optimized geometry

a b c (Å): 5.1682 5.1682 4.4903
angles (deg): 86.11 86.11 33.73
Closest atoms and distances in Å follow each position.
Fractional coordinates of all 4 atoms:
Ru: 0.5303 0.5303 0.4537  1 Br 2.57, 5 Mo 2.59-2.83
Mo: 0.9656 0.9656 0.0155  1 Br 2.57, 2 Ru 2.59, 2 Mo 2.72
Mo: 0.2609 0.2609 0.2793  4 Br 2.59-2.82, 2 Mo 2.72, 3 Ru 2.80-2.83
Br: 0.7431 0.7431 0.7516  5 Mo 2.57-2.82, 1 Ru 2.57

Summary:
Formation energy (no corrections), eV/atom: 0.650
Symmetry: Cm, No. 8
Energy relative to the lowest polymorph listed for this composition, eV/atom: 0.239



The records above give, respectively, raw total energy values of -3.53; -5.83; -3.86; -7.50 eV per atom.